(1)
# BaTaGaPd2, relaxed, DFT GGA-PBEsol
# total moment	2.7	μB per cell
# formation energy from the elements	1.966	eV/atom
data_BaTaGaPd2
_space_group_name_H-M_alt 'P 4/m m m'
_space_group_IT_number 123
_space_group_name_Hall '-P 4 2'
_cell_length_a 5.065
_cell_length_b 5.065
_cell_length_c 5.440
_cell_angle_alpha 90.00
_cell_angle_beta 90.00
_cell_angle_gamma 90.00
loop_
_atom_site_label
_atom_site_type_symbol
_atom_site_fract_x
_atom_site_fract_y
_atom_site_fract_z
Ba1 Ba 0.000 0.000 0.000
Ta1 Ta 0.500 0.500 0.500
Ga1 Ga 0.000 0.000 0.500
Pd1 Pd 0.000 0.500 0.000

---

(2)
# Sm2Ge2O7, relaxed, DFT GGA-PBEsol
# uncorrected formation energy	-251	kJ per mole of atoms
# total moment	0.0	μB per cell
data_Sm2Ge2O7
_space_group_name_H-M_alt 'P -1'
_space_group_IT_number 2
_cell_length_a 6.887
_cell_length_b 6.925
_cell_length_c 12.309
_cell_angle_alpha 93.56
_cell_angle_beta 90.72
_cell_angle_gamma 92.18
loop_
_space_group_symop_operation_xyz
'x,y,z'
'-x,-y,-z'
loop_
_atom_site_label
_atom_site_type_symbol
_atom_site_fract_x
_atom_site_fract_y
_atom_site_fract_z
Sm1 Sm 0.045 0.142 0.363
Sm2 Sm 0.185 0.675 0.885
Sm3 Sm 0.265 0.349 0.628
Sm4 Sm 0.315 0.043 0.115
Ge1 Ge 0.159 0.157 0.884
Ge2 Ge 0.250 0.643 0.408
Ge3 Ge 0.307 0.514 0.167
Ge4 Ge 0.420 0.843 0.627
O1 O 0.003 0.006 0.191
O2 O 0.061 0.803 0.415
O3 O 0.090 0.226 0.017
O4 O 0.103 0.398 0.223
O5 O 0.175 0.420 0.454
O6 O 0.225 0.356 0.813
O7 O 0.249 0.684 0.687
O8 O 0.260 0.026 0.604
O9 O 0.266 0.698 0.079
O10 O 0.346 0.994 0.915
O11 O 0.364 0.087 0.308
O12 O 0.408 0.635 0.294
O13 O 0.457 0.718 0.496
O14 O 0.473 0.344 0.122

---

(3)
# Ta4SiAg, relaxed, DFT GGA-PBEsol
# uncorrected formation energy	62	kJ per mole of atoms
# total moment	0.0	μB per cell
data_Ta4SiAg
_space_group_name_H-M_alt 'F -4 3 m'
_space_group_IT_number 216
_space_group_name_Hall 'F -4 2 3'
_cell_length_a 7.575
_cell_length_b 7.575
_cell_length_c 7.575
_cell_angle_alpha 90.00
_cell_angle_beta 90.00
_cell_angle_gamma 90.00
loop_
_atom_site_label
_atom_site_type_symbol
_atom_site_fract_x
_atom_site_fract_y
_atom_site_fract_z
Ta1 Ta 0.125 0.125 0.125
Si1 Si 0.000 0.000 0.500
Ag1 Ag 0.250 0.250 0.750

---

(4)
# CuC, relaxed, DFT GGA-PBEsol
# total moment	0.0	μB per cell
# formation energy from the elements	1.397	eV/atom
data_CuC
_space_group_name_H-M_alt 'P 63/m m c'
_space_group_IT_number 194
_space_group_name_Hall '-P 6c 2c'
_cell_length_a 3.4230
_cell_length_b 3.4230
_cell_length_c 3.4122
_cell_angle_alpha 90.00
_cell_angle_beta 90.00
_cell_angle_gamma 120.00
loop_
_atom_site_label
_atom_site_type_symbol
_atom_site_fract_x
_atom_site_fract_y
_atom_site_fract_z
Cu1 Cu 0.3333 0.6667 0.2500
C1 C 0.0000 0.0000 0.0000

---

(5)
# K3YF, relaxed, DFT GGA-PBEsol
# uncorrected formation energy	-48	kJ per mole of atoms
# total moment	1.4	μB per cell
data_K3YF
_space_group_name_H-M_alt 'P m -3 m'
_space_group_IT_number 221
_space_group_name_Hall '-P 4 2 3'
_cell_length_a 5.649
_cell_length_b 5.649
_cell_length_c 5.649
_cell_angle_alpha 90.00
_cell_angle_beta 90.00
_cell_angle_gamma 90.00
loop_
_atom_site_label
_atom_site_type_symbol
_atom_site_fract_x
_atom_site_fract_y
_atom_site_fract_z
K1 K 0.000 0.000 0.500
Y1 Y 0.500 0.500 0.500
F1 F 0.000 0.000 0.000

---

(6)
# Nd3PbN, relaxed, DFT GGA-PBEsol
# uncorrected formation energy	-94	kJ per mole of atoms
# total moment	0.0	μB per cell
data_Nd3PbN
_space_group_name_H-M_alt 'P m -3 m'
_space_group_IT_number 221
_space_group_name_Hall '-P 4 2 3'
_cell_length_a 4.968
_cell_length_b 4.968
_cell_length_c 4.968
_cell_angle_alpha 90.00
_cell_angle_beta 90.00
_cell_angle_gamma 90.00
loop_
_atom_site_label
_atom_site_type_symbol
_atom_site_fract_x
_atom_site_fract_y
_atom_site_fract_z
Nd1 Nd 0.000 0.000 0.500
Pb1 Pb 0.500 0.500 0.500
N1 N 0.000 0.000 0.000

---

(7)
# MgCuW, relaxed, DFT GGA-PBEsol
# total moment	4.3	μB per cell
# formation energy from the elements	1.755	eV/atom
data_MgCuW
_space_group_name_H-M_alt 'F -4 3 m'
_space_group_IT_number 216
_space_group_name_Hall 'F -4 2 3'
_cell_length_a 5.907
_cell_length_b 5.907
_cell_length_c 5.907
_cell_angle_alpha 90.00
_cell_angle_beta 90.00
_cell_angle_gamma 90.00
loop_
_atom_site_label
_atom_site_type_symbol
_atom_site_fract_x
_atom_site_fract_y
_atom_site_fract_z
Mg1 Mg 0.000 0.000 0.000
Cu1 Cu 0.250 0.250 0.250
W1 W 0.250 0.250 0.750

---

(8)
# SbTeAs2, relaxed, DFT GGA-PBEsol
# uncorrected formation energy	4	kJ per mole of atoms
# total moment	0.0	μB per cell
data_SbTeAs2
_space_group_name_H-M_alt 'C 1 m 1'
_space_group_IT_number 8
_cell_length_a 12.119
_cell_length_b 4.086
_cell_length_c 4.141
_cell_angle_alpha 90.00
_cell_angle_beta 105.49
_cell_angle_gamma 90.00
loop_
_space_group_symop_operation_xyz
'x,y,z'
'x,-y,z'
'x+1/2,y+1/2,z'
'x+1/2,-y+1/2,z'
loop_
_atom_site_label
_atom_site_type_symbol
_atom_site_fract_x
_atom_site_fract_y
_atom_site_fract_z
Sb1 Sb 0.000 0.000 0.000
Te1 Te 0.260 0.000 0.267
As1 As 0.024 0.500 0.565
As2 As 0.248 0.500 0.755

---

(9)
# FePt2Au, relaxed, DFT GGA-PBEsol
# total moment	3.5	μB per cell
# formation energy from the elements	-0.107	eV/atom
data_FePt2Au
_space_group_name_H-M_alt 'P 4/m m m'
_space_group_IT_number 123
_space_group_name_Hall '-P 4 2'
_cell_length_a 2.753
_cell_length_b 2.753
_cell_length_c 7.730
_cell_angle_alpha 90.00
_cell_angle_beta 90.00
_cell_angle_gamma 90.00
loop_
_atom_site_label
_atom_site_type_symbol
_atom_site_fract_x
_atom_site_fract_y
_atom_site_fract_z
Fe1 Fe 0.000 0.000 0.000
Pt1 Pt 0.500 0.500 0.225
Au1 Au 0.000 0.000 0.500

---

(10)
# BeRh3Cl, relaxed, DFT GGA-PBEsol
# uncorrected formation energy	88	kJ per mole of atoms
# total moment	0.0	μB per cell
data_BeRh3Cl
_space_group_name_H-M_alt 'P m -3 m'
_space_group_IT_number 221
_space_group_name_Hall '-P 4 2 3'
_cell_length_a 4.274
_cell_length_b 4.274
_cell_length_c 4.274
_cell_angle_alpha 90.00
_cell_angle_beta 90.00
_cell_angle_gamma 90.00
loop_
_atom_site_label
_atom_site_type_symbol
_atom_site_fract_x
_atom_site_fract_y
_atom_site_fract_z
Be1 Be 0.000 0.000 0.000
Rh1 Rh 0.000 0.500 0.500
Cl1 Cl 0.500 0.500 0.500

---

(11)
# MgInNi2, relaxed, DFT GGA-PBEsol
# total moment	0.0	μB per cell
# formation energy from the elements	-0.206	eV/atom
data_MgInNi2
_space_group_name_H-M_alt 'F m -3 m'
_space_group_IT_number 225
_space_group_name_Hall '-F 4 2 3'
_cell_length_a 6.084
_cell_length_b 6.084
_cell_length_c 6.084
_cell_angle_alpha 90.00
_cell_angle_beta 90.00
_cell_angle_gamma 90.00
loop_
_atom_site_label
_atom_site_type_symbol
_atom_site_fract_x
_atom_site_fract_y
_atom_site_fract_z
Mg1 Mg 0.000 0.000 0.000
In1 In 0.000 0.000 0.500
Ni1 Ni 0.250 0.250 0.250

---

(12)
# Cr3HBr, relaxed, DFT GGA-PBEsol
# total moment	5.3	μB per cell
data_Cr3HBr
_space_group_name_H-M_alt 'P m -3 m'
_space_group_IT_number 221
_space_group_name_Hall '-P 4 2 3'
_cell_length_a 3.784
_cell_length_b 3.784
_cell_length_c 3.784
_cell_angle_alpha 90.00
_cell_angle_beta 90.00
_cell_angle_gamma 90.00
loop_
_atom_site_label
_atom_site_type_symbol
_atom_site_fract_x
_atom_site_fract_y
_atom_site_fract_z
Cr1 Cr 0.000 0.000 0.500
H1 H 0.000 0.000 0.000
Br1 Br 0.500 0.500 0.500

---

Raw total energy values (in Ry per atom) by entry order: -0.2959; -0.5705; -0.6791; -0.4110; -0.2150; -0.4833; -0.3575; -0.3330; -0.5006; -0.3801; -0.3278; -0.4684.